PrNdS3 | GGA-PBE | optimized geometry

abc: 4.0812 7.5364 15.7254
angles: 90.00 90.00 90.00
Sites, in units of the cell vectors:
Pr1 0.7500 0.8552 0.7962
Pr2 0.2500 0.1448 0.2038
Pr3 0.7500 0.3552 0.7038
Pr4 0.2500 0.6448 0.2962
Nd1 0.2500 0.2652 0.9560
Nd2 0.2500 0.7652 0.5440
Nd3 0.7500 0.2348 0.4560
Nd4 0.7500 0.7348 0.0440
S1 0.2500 0.3741 0.5664
S2 0.7500 0.8541 0.2184
S3 0.7500 0.4897 0.8915
S4 0.7500 0.9897 0.6085
S5 0.7500 0.6259 0.4336
S6 0.2500 0.0103 0.3915
S7 0.2500 0.8741 0.9336
S8 0.7500 0.3541 0.2816
S9 0.2500 0.6459 0.7184
S10 0.2500 0.1459 0.7816
S11 0.7500 0.1259 0.0664
S12 0.2500 0.5103 0.1085

Calculated values
ΔE to the lowest computed polymorph: 0.00 eV per formula unit
E_form (uncorrected): -10.3 eV/f.u.
total moment: 0.00 μB per cell


Pr3Nd4S8 | GGA-PBE | optimized geometry

abc: 8.1535 8.1593 8.1593
angles: 90.01 119.97 119.97
Sites, in units of the cell vectors:
Pr1 0.5000 0.5000 0.0000
Pr2 0.5000 0.0000 0.5000
Pr3 0.5000 0.5000 0.5000
Nd1 0.5000 0.0000 0.0000
Nd2 0.0000 0.5000 0.0000
Nd3 0.0000 0.0000 0.0000
Nd4 0.0000 0.0000 0.5000
S1 0.4978 0.2479 0.2479
S2 0.0000 0.7510 0.2490
S3 0.9980 0.2481 0.2481
S4 0.5000 0.7510 0.2490
S5 0.5000 0.2490 0.7510
S6 0.0020 0.7519 0.7519
S7 0.0000 0.2490 0.7510
S8 0.5022 0.7521 0.7521

Calculated values
E_form (uncorrected): -30.5 eV/f.u.
total moment: 0.00 μB per cell


PrNd4S5 | GGA-PBE | optimized geometry

abc: 4.0774 5.7623 10.7925
angles: 105.48 100.89 90.00
Sites, in units of the cell vectors:
Pr1 0.0000 0.0000 0.0000
Nd1 0.4001 0.4001 0.8001
Nd2 0.7995 0.7995 0.5991
Nd3 0.2005 0.2005 0.4009
Nd4 0.5999 0.5999 0.1999
S1 0.6011 0.1011 0.2022
S2 0.8002 0.3002 0.6005
S3 0.1998 0.6998 0.3995
S4 0.0000 0.5000 0.0000
S5 0.3989 0.8989 0.7978

Calculated values
E_form (uncorrected): -20.2 eV/f.u.
total moment: 0.00 μB per cell


PrNd3S6 | GGA-PBE | optimized geometry

abc: 4.1244 11.3779 11.6849
angles: 108.10 90.00 90.00
Sites, in units of the cell vectors:
Pr1 0.7500 0.0458 0.6896
Pr2 0.2500 0.9542 0.3104
Nd1 0.7500 0.4336 0.8308
Nd2 0.2500 0.5664 0.1693
Nd3 0.7500 0.6819 0.5045
Nd4 0.2500 0.3181 0.4955
Nd5 0.7500 0.1614 0.0844
Nd6 0.2500 0.8386 0.9156
S1 0.7500 0.4770 0.6107
S2 0.2500 0.5230 0.3893
S3 0.7500 0.9170 0.0985
S4 0.2500 0.0830 0.9015
S5 0.7500 0.4005 0.0640
S6 0.2500 0.5995 0.9360
S7 0.7500 0.7443 0.2767
S8 0.2500 0.2557 0.7233
S9 0.7500 0.1124 0.4615
S10 0.2500 0.8876 0.5385
S11 0.7500 0.8106 0.7514
S12 0.2500 0.1894 0.2486

Calculated values
E_form (uncorrected): -20.4 eV/f.u.
total moment: 0.00 μB per cell


Pr3Nd5S8 | GGA-PBE | optimized geometry

abc: 8.1679 8.1679 8.1693
angles: 60.01 60.01 60.00
Sites, in units of the cell vectors:
Pr1 0.5000 0.0000 0.5000
Pr2 0.0000 0.0000 0.5000
Pr3 0.0000 0.5000 0.5000
Nd1 0.5000 0.0000 0.0000
Nd2 0.5000 0.5000 0.0000
Nd3 0.0000 0.0000 0.0000
Nd4 0.0000 0.5000 0.0000
Nd5 0.5000 0.5000 0.5000
S1 0.2500 0.2500 0.7524
S2 0.2500 0.7477 0.7524
S3 0.7477 0.2500 0.7524
S4 0.7488 0.7488 0.7535
S5 0.7500 0.7500 0.2476
S6 0.7500 0.2523 0.2476
S7 0.2523 0.7500 0.2476
S8 0.2512 0.2512 0.2465

Calculated values
E_form (uncorrected): -32.3 eV/f.u.
total moment: 0.00 μB per cell


PrNdS2 | GGA-PBE | optimized geometry

abc: 4.0449 4.0449 13.6803
angles: 90.00 90.00 120.00
Sites, in units of the cell vectors:
Pr1 0.6667 0.3333 0.2500
Pr2 0.3333 0.6667 0.7500
Nd1 0.0000 0.0000 0.5000
Nd2 0.0000 0.0000 0.0000
S1 0.3333 0.6667 0.3781
S2 0.6667 0.3333 0.8781
S3 0.6667 0.3333 0.6219
S4 0.3333 0.6667 0.1219

Calculated values
ΔE to the lowest computed polymorph: 0.06 eV per formula unit
E_form (uncorrected): -8.0 eV/f.u.
total moment: 0.00 μB per cell


PrNdS2 | GGA-PBE | optimized geometry

abc: 4.0937 4.0937 7.0626
angles: 73.15 73.15 60.00
Sites, in units of the cell vectors:
Pr1 0.5000 0.5000 0.5000
S1 0.2511 0.2511 0.2466
S2 0.7489 0.7489 0.7534
Nd1 0.0000 0.0000 0.0000

Calculated values
ΔE to the lowest computed polymorph: 0.00 eV per formula unit
E_form (uncorrected): -8.1 eV/f.u.
total moment: 0.00 μB per cell


PrNdS2 | GGA-PBE | optimized geometry

abc: 4.0046 4.0046 7.4292
angles: 74.36 74.36 60.00
Sites, in units of the cell vectors:
Pr1 0.6723 0.6723 0.9830
Nd1 0.4945 0.4945 0.5165
S1 0.0832 0.0832 0.7504
S2 0.2500 0.2500 0.2501

Calculated values
ΔE to the lowest computed polymorph: 0.21 eV per formula unit
E_form (uncorrected): -7.9 eV/f.u.
total moment: 0.00 μB per cell


Pr4NdS5 | GGA-PBE | optimized geometry

abc: 4.0946 4.0946 14.8059
angles: 97.95 97.95 90.00
Sites, in units of the cell vectors:
Pr1 0.3997 0.3997 0.7995
Pr2 0.8008 0.8008 0.6017
Pr3 0.1992 0.1992 0.3983
Pr4 0.6003 0.6003 0.2005
Nd1 0.0000 0.0000 0.0000
S1 0.0992 0.0992 0.1983
S2 0.5000 0.5000 0.0000
S3 0.9008 0.9008 0.8017
S4 0.2995 0.2995 0.5990
S5 0.7005 0.7005 0.4010

Calculated values
E_form (uncorrected): -20.2 eV/f.u.
total moment: 0.00 μB per cell


Pr3NdS6 | GGA-PBE | optimized geometry

abc: 7.2472 7.2472 7.5998
angles: 61.52 61.52 60.00
Sites, in units of the cell vectors:
Pr1 0.3542 0.3542 0.9374
Pr2 0.6453 0.6453 0.0640
Pr3 0.1461 0.1461 0.5617
Nd1 0.8531 0.8531 0.4406
S1 0.9562 0.5480 0.2495
S2 0.2464 0.9562 0.2495
S3 0.5480 0.2464 0.2495
S4 0.0444 0.4565 0.7493
S5 0.7498 0.0444 0.7493
S6 0.4565 0.7498 0.7493

Calculated values
ΔE to the lowest computed polymorph: 0.22 eV per formula unit
E_form (uncorrected): -20.0 eV/f.u.
total moment: 0.00 μB per cell


Pr2Nd2S3 | GGA-PBE | optimized geometry

abc: 4.0770 7.0260 7.0344
angles: 100.33 106.85 90.00
Sites, in units of the cell vectors:
Pr1 0.6263 0.8757 0.2527
Pr2 0.3737 0.1243 0.7473
Nd1 0.8710 0.6280 0.7421
Nd2 0.1290 0.3720 0.2579
S1 0.0000 0.0000 0.0000
S2 0.7490 0.2509 0.4981
S3 0.2510 0.7491 0.5019

Calculated values
E_form (uncorrected): -12.0 eV/f.u.
total moment: 0.00 μB per cell


PrNd5S8 | GGA-PBE | optimized geometry

abc: 7.4791 7.4791 7.4791
angles: 108.34 111.75 108.34
Sites, in units of the cell vectors:
Pr1 0.2500 0.5000 0.7500
Nd1 0.0249 0.3994 0.1242
Nd2 0.8758 0.9007 0.2752
Nd3 0.7248 0.6006 0.6255
Nd4 0.5000 0.0000 0.5000
Nd5 0.3745 0.0993 0.9751
S1 0.1268 0.7569 0.0222
S2 0.9778 0.1047 0.7347
S3 0.7700 0.2561 0.3780
S4 0.6220 0.3920 0.8781
S5 0.4861 0.6080 0.2300
S6 0.6301 0.8953 0.8732
S7 0.2653 0.2431 0.3699
S8 0.1219 0.7439 0.5139

Calculated values
E_form (uncorrected): -28.3 eV/f.u.
total moment: 0.00 μB per cell


Pr4NdS6 | GGA-PBE | optimized geometry

abc: 4.0061 7.0531 20.5972
angles: 90.00 90.00 106.50
Sites, in units of the cell vectors:
Pr1 0.8604 0.7209 0.5407
Pr2 0.4092 0.8184 0.1296
Pr3 0.1396 0.2791 0.4593
Pr4 0.5908 0.1816 0.8704
Pr5 0.8604 0.7209 0.9593
Pr6 0.1396 0.2791 0.0407
Pr7 0.5908 0.1816 0.6296
Pr8 0.4092 0.8184 0.3704
Nd1 0.6539 0.3077 0.2500
Nd2 0.3461 0.6923 0.7500
S1 0.5000 0.0000 0.0000
S2 0.5000 0.0000 0.5000
S3 0.0524 0.1048 0.3308
S4 0.9476 0.8952 0.6692
S5 0.9476 0.8952 0.8308
S6 0.0524 0.1048 0.1692
S7 0.7700 0.5399 0.4092
S8 0.2300 0.4601 0.5908
S9 0.2300 0.4601 0.9092
S10 0.7700 0.5399 0.0908
S11 0.3036 0.6072 0.2500
S12 0.6964 0.3928 0.7500

Calculated values
E_form (uncorrected): -22.2 eV/f.u.
total moment: 0.00 μB per cell


PrNd3S4 | GGA-PBE | optimized geometry

abc: 7.0892 7.0905 8.0925
angles: 90.00 90.00 109.39
Sites, in units of the cell vectors:
Pr1 0.7500 0.0000 0.8752
Pr2 0.2500 0.0000 0.1248
S1 0.0010 0.2510 0.6239
S2 0.5001 0.2522 0.8739
S3 0.5010 0.2510 0.3761
S4 0.0001 0.2522 0.1261
S5 0.9999 0.7478 0.8739
S6 0.4990 0.7490 0.6239
S7 0.4999 0.7478 0.1261
S8 0.9990 0.7490 0.3761
Nd1 0.7500 0.0000 0.3747
Nd2 0.2500 0.0000 0.6253
Nd3 0.7500 0.5000 0.6251
Nd4 0.7500 0.5000 0.1249
Nd5 0.2500 0.5000 0.3749
Nd6 0.2500 0.5000 0.8751

Calculated values
ΔE to the lowest computed polymorph: 0.00 eV per formula unit
E_form (uncorrected): -16.2 eV/f.u.
total moment: 0.00 μB per cell


Pr2Nd2S5 | GGA-PBE | optimized geometry

abc: 7.6924 7.6942 8.1167
angles: 118.29 90.00 90.00
Sites, in units of the cell vectors:
Pr1 0.6594 0.8467 0.0000
Pr2 0.3406 0.1533 0.0000
Pr3 0.1594 0.6533 0.0000
Pr4 0.8406 0.3467 0.0000
Nd1 0.0000 0.1982 0.3965
Nd2 0.5000 0.6982 0.3965
Nd3 0.0000 0.8018 0.6035
Nd4 0.5000 0.3018 0.6035
S1 0.0000 0.0000 0.0000
S2 0.5000 0.5000 0.0000
S3 0.8476 0.7991 0.2796
S4 0.1524 0.4805 0.2796
S5 0.3476 0.9805 0.2796
S6 0.6524 0.2991 0.2796
S7 0.1524 0.2009 0.7204
S8 0.8476 0.5195 0.7204
S9 0.6524 0.0195 0.7204
S10 0.3476 0.7009 0.7204

Calculated values
E_form (uncorrected): -17.6 eV/f.u.
total moment: 0.00 μB per cell


PrNdS2 | GGA-PBE | optimized geometry

abc: 3.9456 3.9454 7.3517
angles: 90.02 90.00 120.00
Sites, in units of the cell vectors:
Pr1 0.0000 0.5000 0.5000
Nd1 0.0000 0.5000 0.0000
S1 0.6667 0.8334 0.7531
S2 0.3333 0.1666 0.2469

Calculated values
ΔE to the lowest computed polymorph: 0.57 eV per formula unit
E_form (uncorrected): -7.5 eV/f.u.
total moment: 0.00 μB per cell


Pr2NdS | GGA-PBE | optimized geometry

abc: 3.8862 3.8862 9.9741
angles: 78.77 78.77 60.00
Sites, in units of the cell vectors:
Pr1 0.2716 0.2716 0.1852
Pr2 0.7284 0.7284 0.8148
S1 0.0000 0.0000 0.0000
Nd1 0.5000 0.5000 0.5000

Calculated values
ΔE to the lowest computed polymorph: 0.04 eV per formula unit
E_form (uncorrected): -3.6 eV/f.u.
total moment: 0.00 μB per cell


PrNdS3 | GGA-PBE | optimized geometry

abc: 4.0341 7.5580 8.9087
angles: 85.58 90.00 105.48
Sites, in units of the cell vectors:
Pr1 0.6170 0.2340 0.4180
Pr2 0.3830 0.7660 0.5820
Nd1 0.8365 0.6731 0.1313
Nd2 0.1635 0.3269 0.8687
S1 0.9682 0.9364 0.3419
S2 0.0318 0.0636 0.6581
S3 0.3584 0.7167 0.9195
S4 0.6416 0.2832 0.0805
S5 0.2565 0.5130 0.3395
S6 0.7435 0.4870 0.6605

Calculated values
ΔE to the lowest computed polymorph: 0.48 eV per formula unit
E_form (uncorrected): -9.8 eV/f.u.
total moment: 0.00 μB per cell


Pr4NdS4 | GGA-PBE | optimized geometry

abc: 5.7917 7.0581 7.0602
angles: 80.30 65.78 65.78
Sites, in units of the cell vectors:
Pr1 0.6033 0.5928 0.2006
Pr2 0.3967 0.4072 0.7994
Pr3 0.1959 0.2008 0.4074
Pr4 0.8041 0.7992 0.5926
Nd1 0.0000 0.0000 0.0000
S1 0.9007 0.3991 0.7994
S2 0.0993 0.6009 0.2006
S3 0.2998 0.7992 0.6011
S4 0.7002 0.2008 0.3989

Calculated values
E_form (uncorrected): -16.0 eV/f.u.
total moment: 0.00 μB per cell


Pr2NdS | GGA-PBE | optimized geometry

abc: 3.9225 3.9225 9.8725
angles: 78.54 78.54 59.99
Site moments in Bohr magnetons follow the coordinates.
Sites, in units of the cell vectors:
Pr1 0.0609 0.0609 0.8176  0.06
Pr2 0.2724 0.2724 0.1828  0.03
Nd1 0.4999 0.4999 0.5002  0.15
S1 0.6669 0.6669 0.9994  0.00

Calculated values
ΔE to the lowest computed polymorph: 0.00 eV per formula unit
E_form (uncorrected): -3.6 eV/f.u.
total moment: 0.61 μB per cell


Pr3NdS | GGA-PBE | optimized geometry

abc: 5.5708 5.5708 5.5708
angles: 90.00 90.00 90.00
Sites, in units of the cell vectors:
Pr1 0.0000 0.5000 0.0000
Pr2 0.0000 0.0000 0.5000
Pr3 0.5000 0.0000 0.0000
S1 0.0000 0.0000 0.0000
Nd1 0.5000 0.5000 0.5000

Calculated values
E_form (uncorrected): -3.4 eV/f.u.
total moment: 0.00 μB per cell